## TlAs2PbO6 (PBE)

Data for TlAs2PbO6 after structural relaxation.

```
20
Lattice="5.5462 -5.3629 0.0000 5.5462 5.3629 0.0000 -1.6359 0.0000 6.0478" Properties=species:S:1:pos:R:3 pbc="T T T"
Tl 4.3193 3.2643 4.5358
Tl 5.1373 -3.2643 1.5119
As 1.1239 0.8330 4.6582
As 1.9418 -0.8330 1.6343
As 7.5148 0.8330 4.4135
As 8.3327 -0.8330 1.3896
Pb 5.1373 1.2402 1.5119
Pb 4.3193 -1.2402 4.5358
O 3.2808 2.9335 1.7397
O 1.7436 0.1509 0.0557
O 0.9256 -0.1509 3.0796
O 2.7953 0.7594 5.1249
O 6.9937 2.9335 1.2842
O 3.6132 -0.7594 2.1010
O 5.8433 0.7594 3.9468
O 2.4629 -2.9335 4.7636
O 6.6613 -0.7594 0.9229
O 8.5309 0.1509 2.9682
O 7.7130 -0.1509 5.9920
O 6.1758 -2.9335 4.3081
```

**Formation energy from raw total energies**: -1.083 eV per atom
**Space group**: C2/c (15)
**M_tot**: 0.00 μB/atom